Here is crystalline PmNdHo3 at its relaxed geometry from Alexandria via LeMat-Bulk. Energies are from PBE.

CIF file:
```
data_PmNdHo3
_chemical_formula_sum 'Pm2 Nd2 Ho6'
_space_group_name_H-M_alt 'P 1 21/m 1'
_space_group_IT_number 11
_space_group_name_Hall '-P 2yb'
_cell_length_a 3.6285
_cell_length_b 11.6060
_cell_length_c 8.6352
_cell_angle_alpha 90.00
_cell_angle_beta 102.07
_cell_angle_gamma 90.00
loop_
_atom_site_label
_atom_site_type_symbol
_atom_site_fract_x
_atom_site_fract_y
_atom_site_fract_z
_atom_site_occupancy
Pm1 Pm 0.1861 0.2500 0.3754 1
Nd1 Nd 0.4930 0.7500 0.9728 1
Ho1 Ho 0.1551 0.7500 0.3042 1
Ho2 Ho 0.3412 0.0020 0.6841 1
```

Properties
crystal system: monoclinic
offset from the most stable computed form: 126.3 meV/atom
raw total energy: -43.476 eV/cell
E_form: 0.30 eV per atom